Here is a relaxed Fe5Co3 crystal from the Alexandria database. Energies are from GGA-PBEsol.

The structure in POSCAR format:
```
Fe5Co3
1.0
1.9786 1.1423 6.4344
-1.9786 1.1423 6.4344
0.0000 -2.2846 6.4344
Fe Co
5 3
Direct
0.0000 0.0000 0.0000
0.2491 0.2491 0.2491
0.3755 0.3755 0.3755
0.6245 0.6245 0.6245
0.7509 0.7509 0.7509
0.1252 0.1252 0.1252
0.5000 0.5000 0.5000
0.8748 0.8748 0.8748
```

Theoretical density: 8.678 Mg/m³
DOS(E_F): 7.1 states/eV per cell
Relative energy among the computed polymorphs: 46 meV per atom